(1)
AsOsF3 | the Alexandria database | PBE | optimized geometry; space group = Pm-3m; formation energy from raw total energies = -0.079 eV per atom; M_tot = 0.000 μB per formula unit; crystal system = cubic; volume = 73 Å³/cell; energy above the most stable polymorph in this dataset = 0.000 eV per atom
1.0
-1.493 -3.054 2.437
1.841 -2.851 -2.445
3.447 0.200 2.362
F Os As
3 1 1
direct
0.500 0.000 0.000 F
0.000 0.500 0.000 F
0.000 0.000 0.500 F
0.000 0.000 0.000 Os
0.500 0.500 0.500 As

***

(2)
AsOs3F | the Alexandria database | PBE | optimized geometry; space group = Pm-3m; formation energy from raw total energies = 1.804 eV per atom; M_tot = 0.000 μB per formula unit; crystal system = cubic; volume = 77 Å³/cell; energy above the most stable polymorph in this dataset = 0.000 eV per atom
1.0
-1.562 3.955 -0.136
-2.795 -0.999 3.048
2.802 1.208 2.965
Os F As
3 1 1
direct
0.000 0.500 0.000 Os
0.000 0.000 0.500 Os
0.500 0.000 0.000 Os
0.000 0.000 0.000 F
0.500 0.500 0.500 As

***

(3)
AsOs3F | the Alexandria database | PBE | optimized geometry; space group = Pm-3m; formation energy from raw total energies = 1.915 eV per atom; M_tot = 3.457 μB per formula unit; crystal system = cubic; volume = 96 Å³/cell; energy above the most stable polymorph in this dataset = 0.111 eV per atom
1.0
4.583 0.000 0.000
0.000 4.583 0.000
0.000 0.000 4.583
Os F As
3 1 1
direct
0.000 0.500 0.000 Os
0.500 0.000 0.000 Os
0.000 0.000 0.500 Os
0.500 0.500 0.500 F
0.000 0.000 0.000 As

***

(4)
AsOsF3 | the Alexandria database | PBE | optimized geometry; space group = Pm-3m; formation energy from raw total energies = 0.123 eV per atom; M_tot = 4.000 μB per formula unit; crystal system = cubic; volume = 82 Å³/cell; energy above the most stable polymorph in this dataset = 0.203 eV per atom
1.0
-0.462 2.462 3.540
-1.143 -3.503 2.287
4.158 -0.689 1.022
Os F As
1 3 1
direct
0.500 0.500 0.500 Os
0.500 0.000 0.000 F
0.000 0.000 0.500 F
0.000 0.500 0.000 F
0.000 0.000 0.000 As

***

Repeat the second record exactly.
AsOs3F | the Alexandria database | PBE | optimized geometry; space group = Pm-3m; formation energy from raw total energies = 1.804 eV per atom; M_tot = 0.000 μB per formula unit; crystal system = cubic; volume = 77 Å³/cell; energy above the most stable polymorph in this dataset = 0.000 eV per atom
1.0
-1.562 3.955 -0.136
-2.795 -0.999 3.048
2.802 1.208 2.965
Os F As
3 1 1
direct
0.000 0.500 0.000 Os
0.000 0.000 0.500 Os
0.500 0.000 0.000 Os
0.000 0.000 0.000 F
0.500 0.500 0.500 As